(1)
Ce8MgRu6 | PBE | relaxed

Cell: 8.0747 8.0747 18.0036 Å, 90.00 90.00 120.00°
With the nearest neighbours (Å) after each atom.
Space group R-3 (No. 148, hexagonal axes)
Symmetry-distinct sites (fractional):
Ce1 0.0000 0.0000 0.1856 (multiplicity 6)  6 Ru 2.70-2.97
Ce2 0.0134 0.6219 0.2845 (multiplicity 18)  1 Ru 2.64
Mg1 0.0000 0.0000 0.5000 (multiplicity 3)  6 Ru 2.84
Ru1 0.0005 0.3286 0.2140 (multiplicity 18)  2 Ce 2.64-2.70, 1 Mg 2.84

energy of formation = -0.27 eV per atom
calculated density = 8.58 Mg/m³

(2)
Ce4Mg3Ru4 | PBE | relaxed

Cell: 3.6857 9.3924 13.7987 Å, 90.00 90.00 90.00°
With the nearest neighbours (Å) after each atom.
Space group Immm (No. 71)
Symmetry-distinct sites (fractional):
Ce1 0.0000 0.2000 0.1461 (multiplicity 8)  1 Ru 2.44
Mg1 0.0000 0.0000 0.3737 (multiplicity 4)  6 Ru 2.92-2.99
Mg2 0.0000 0.5000 0.5000 (multiplicity 2)  2 Ru 2.81
Ru1 0.0000 0.3455 0.0000 (multiplicity 4)  2 Ce 2.44
Ru2 0.0000 0.5000 0.2966 (multiplicity 4)  4 Ce 2.75, 3 Mg 2.81-2.99

energy of formation = -0.19 eV per atom
calculated density = 7.21 Mg/m³

(3)
Ce6MgRu2 | PBE | relaxed

Cell: 10.4651 4.8050 8.7632 Å, 90.00 95.49 90.00°
With the nearest neighbours (Å) after each atom.
Space group C2/m (No. 12)
Symmetry-distinct sites (fractional):
Ce1 0.0602 0.0000 0.3652 (multiplicity 4)  3 Ce 2.78-2.96, 3 Ru 2.94-3.02
Ce2 0.1038 0.5000 0.6801 (multiplicity 4)  2 Ce 2.96, 3 Ru 3.01-3.08
Ce3 0.2059 0.5000 0.1033 (multiplicity 4)  1 Ru 2.41
Mg1 0.0000 0.0000 0.0000 (multiplicity 2)  8 Ce 3.20-3.30
Ru1 0.2351 0.5000 0.3800 (multiplicity 4)  1 Ce 2.41

energy of formation = -0.20 eV per atom
calculated density = 8.08 Mg/m³

(4)
CeMg2Ru2 | PBE | relaxed

Cell: 9.3291 6.4017 6.7620 Å, 90.00 94.71 90.00°
With the nearest neighbours (Å) after each atom.
Space group P2_1/c (No. 14)
Symmetry-distinct sites (fractional):
Ce1 0.1599 0.1464 0.4749 (multiplicity 4)  2 Ru 2.35-2.40
Mg1 0.2105 0.6541 0.5943 (multiplicity 4)  5 Ru 2.69-2.90, 1 Mg 2.90
Mg2 0.4952 0.7447 0.9787 (multiplicity 4)  4 Ru 2.78-3.00, 1 Mg 2.90
Ru1 0.0161 0.5702 0.2833 (multiplicity 4)  1 Ce 2.35
Ru2 0.3210 0.0156 0.7404 (multiplicity 4)  1 Ce 2.40

energy of formation = -0.13 eV per atom
calculated density = 6.45 Mg/m³

(5)
TbCeMgRu | PBE | relaxed

Cell: 7.1557 7.1557 7.1557 Å, 90.00 90.00 90.00°
With the nearest neighbours (Å) after each atom.
Space group F-43m (No. 216)
Symmetry-distinct sites (fractional):
Tb1 0.0000 0.0000 0.0000 (multiplicity 4)  4 Ru 3.10, 4 Mg 3.10
Ce1 0.0000 0.0000 0.5000 (multiplicity 4)  4 Ru 3.10, 4 Mg 3.10
Mg1 0.2500 0.2500 0.2500 (multiplicity 4)  4 Tb 3.10, 4 Ce 3.10
Ru1 0.2500 0.2500 0.7500 (multiplicity 4)  4 Tb 3.10, 4 Ce 3.10

energy of formation = -0.11 eV per atom
calculated density = 7.69 Mg/m³

(6)
CeMgTcRu | PBE | relaxed

Cell: 6.5612 6.5612 6.5612 Å, 90.00 90.00 90.00°
With the nearest neighbours (Å) after each atom.
Space group F-43m (No. 216)
Symmetry-distinct sites (fractional):
Ce1 0.0000 0.0000 0.0000 (multiplicity 4)  4 Tc 2.84, 4 Ru 2.84
Mg1 0.0000 0.0000 0.5000 (multiplicity 4)  4 Tc 2.84, 4 Ru 2.84
Tc1 0.2500 0.2500 0.7500 (multiplicity 4)  4 Ce 2.84, 4 Mg 2.84
Ru1 0.2500 0.2500 0.2500 (multiplicity 4)  4 Ce 2.84, 4 Mg 2.84

energy of formation = -0.02 eV per atom
calculated density = 8.55 Mg/m³

(7)
CeTmMgRu | PBE | relaxed

Cell: 7.0964 7.0964 7.0964 Å, 90.00 90.00 90.00°
With the nearest neighbours (Å) after each atom.
Space group F-43m (No. 216)
Symmetry-distinct sites (fractional):
Ce1 0.0000 0.0000 0.0000 (multiplicity 4)  4 Ru 3.07, 4 Mg 3.07
Tm1 0.0000 0.0000 0.5000 (multiplicity 4)  4 Ru 3.07, 4 Mg 3.07
Mg1 0.2500 0.2500 0.2500 (multiplicity 4)  4 Ce 3.07, 4 Tm 3.07
Ru1 0.2500 0.2500 0.7500 (multiplicity 4)  4 Ce 3.07, 4 Tm 3.07

energy of formation = -0.15 eV per atom
calculated density = 8.07 Mg/m³

(8)
CeTmMgRu | PBE | relaxed

Cell: 3.3249 3.3249 8.6427 Å, 90.00 90.00 90.00°
With the nearest neighbours (Å) after each atom.
Space group P4mm (No. 99)
Symmetry-distinct sites (fractional):
Ce1 0.0000 0.0000 0.0000 (multiplicity 1)  4 Ru 2.93
Tm1 0.0000 0.0000 0.6024 (multiplicity 1)  4 Ru 2.89
Mg1 0.5000 0.5000 0.3067 (multiplicity 1)  4 Mg 3.32, 4 Tm 3.47, 4 Ce 3.54
Ru1 0.5000 0.5000 0.7972 (multiplicity 1)  4 Tm 2.89, 4 Ce 2.93

energy of formation = -0.27 eV per atom
calculated density = 7.55 Mg/m³

(9)
CeYMgRu | PBE | relaxed

Cell: 7.1542 7.1542 7.1542 Å, 90.00 90.00 90.00°
With the nearest neighbours (Å) after each atom.
Space group F-43m (No. 216)
Symmetry-distinct sites (fractional):
Ce1 0.0000 0.0000 0.0000 (multiplicity 4)  4 Ru 3.10, 4 Mg 3.10
Y1 0.0000 0.0000 0.5000 (multiplicity 4)  4 Ru 3.10, 4 Mg 3.10
Mg1 0.2500 0.2500 0.2500 (multiplicity 4)  4 Ce 3.10, 4 Y 3.10
Ru1 0.2500 0.2500 0.7500 (multiplicity 4)  4 Ce 3.10, 4 Y 3.10

energy of formation = -0.12 eV per atom
calculated density = 6.43 Mg/m³

(10)
CeMgZnRu | PBE | relaxed

Cell: 6.7548 6.7548 6.7548 Å, 90.00 90.00 90.00°
With the nearest neighbours (Å) after each atom.
Space group F-43m (No. 216)
Symmetry-distinct sites (fractional):
Ce1 0.0000 0.0000 0.0000 (multiplicity 4)  4 Ru 2.92, 4 Zn 2.92
Mg1 0.0000 0.0000 0.5000 (multiplicity 4)  4 Ru 2.92, 4 Zn 2.92
Zn1 0.2500 0.2500 0.2500 (multiplicity 4)  4 Ce 2.92, 4 Mg 2.92
Ru1 0.2500 0.2500 0.7500 (multiplicity 4)  4 Ce 2.92, 4 Mg 2.92

energy of formation = -0.13 eV per atom
calculated density = 7.13 Mg/m³

(11)
Ce3MgS | PBE | relaxed

Cell: 5.3390 5.3390 5.3390 Å, 90.00 90.00 90.00°
With the nearest neighbours (Å) after each atom.
Space group Pm-3m (No. 221)
Symmetry-distinct sites (fractional):
Ce1 0.0000 0.0000 0.5000 (multiplicity 3)  2 S 2.67
Mg1 0.5000 0.5000 0.5000 (multiplicity 1)  12 Ce 3.78
S1 0.0000 0.0000 0.0000 (multiplicity 1)  6 Ce 2.67

energy relative to the elements, uncorrected = -0.561 eV/atom
calculated density = 5.20 Mg/m³

(12)
Ce5MgS8 | PBE | relaxed

Cell: 8.3982 8.3982 8.6820 Å, 90.00 90.00 90.00°
With the nearest neighbours (Å) after each atom.
Space group I-4 (No. 82)
Symmetry-distinct sites (fractional):
Ce1 0.0000 0.0000 0.0000 (multiplicity 2)  8 S 2.82-3.06
Ce2 0.1247 0.7484 0.3808 (multiplicity 8)  7 S 2.83-3.05
Mg1 0.0000 0.5000 0.7500 (multiplicity 2)  4 S 2.68
S1 0.0657 0.8095 0.7069 (multiplicity 8)  1 Mg 2.68, 2 Ce 2.83-2.92
S2 0.0798 0.6795 0.0608 (multiplicity 8)  5 Ce 2.82-2.99

energy relative to the elements, uncorrected = -1.887 eV/atom
calculated density = 5.32 Mg/m³

Number 1: total DFT energy (no corrections) -7.25 eV per atom. Number 2: total DFT energy (no corrections) -6.16 eV per atom. Number 3: total DFT energy (no corrections) -6.39 eV per atom. Number 4: total DFT energy (no corrections) -5.67 eV per atom. Number 5: total DFT energy (no corrections) -5.47 eV per atom. Number 6: total DFT energy (no corrections) -6.81 eV per atom. Number 7: total DFT energy (no corrections) -5.47 eV per atom. Number 8: total DFT energy (no corrections) -5.58 eV per atom. Number 9: total DFT energy (no corrections) -5.93 eV per atom. Number 10: total DFT energy (no corrections) -4.65 eV per atom. Number 11: total DFT energy (no corrections) -5.27 eV per atom. Number 12: total DFT energy (no corrections) -6.48 eV per atom.